Below is a geometry-optimized Co2NiPbS structure, with properties calculated at the PBE level.

The structure in POSCAR format:
```
Co2NiPbS
1.0
4.076 0.000 0.000
0.000 4.076 0.000
0.000 0.000 5.714
Co Ni Pb S
2 1 1 1
Cartesian
0.000 2.038 0.000 Co
2.038 0.000 0.000 Co
0.000 0.000 2.857 Ni
2.038 2.038 2.857 Pb
2.038 2.038 0.000 S
```

Summary:
The uncorrected energy is -4.976 eV/atom. Its density is 7.274 g cm⁻³. Its crystal system is tetragonal. For the offset from the most stable computed form, the calculation gives 0.425 eV/atom. For the volume, the calculation gives 94.9 Å³/f.u.